No. 1
HoErCdGa | PBE | relaxed

Lattice parameters (Å, degrees): 7.272 7.272 7.272 90.00 90.00 90.00
Space group F-43m (No. 216)
One atom of each set of equivalent atoms:
Ho  0.000  0.000  0.000 (multiplicity 4)
Er  0.000  0.000  0.500 (multiplicity 4)
Cd  0.250  0.250  0.750 (multiplicity 4)
Ga  0.250  0.250  0.250 (multiplicity 4)

Values from the calculation:
E above lowest polymorph, meV per atom: 20
Crystal system: cubic
ΔH_f (0 K), meV/atom: -436

***

No. 2
HoErCdGa | PBE | relaxed

Lattice parameters (Å, degrees): 3.604 3.604 7.381 90.00 90.00 90.00
Space group P4mm (No. 99)
One atom of each set of equivalent atoms:
Ho  0.000  0.000  0.000 (multiplicity 1)
Er  0.000  0.000  0.531 (multiplicity 1)
Cd  0.500  0.500  0.268 (multiplicity 1)
Ga  0.500  0.500  0.764 (multiplicity 1)

Values from the calculation:
E above lowest polymorph, meV per atom: 0
Crystal system: tetragonal
ΔH_f (0 K), meV/atom: -456

***

No. 3
Er4Cd2InGa | PBE | relaxed

Lattice parameters (Å, degrees): 5.1930 5.1930 25.4342 90.00 90.00 120.00
Space group R-3m (No. 166, hexagonal axes)
One atom of each set of equivalent atoms:
Er  0.0000  0.0000  0.1208 (multiplicity 6)
Er  0.0000  0.0000  0.3713 (multiplicity 6)
Cd  0.0000  0.0000  0.2474 (multiplicity 6)
In  0.0000  0.0000  0.5000 (multiplicity 3)
Ga  0.0000  0.0000  0.0000 (multiplicity 3)

Values from the calculation:
Crystal system: trigonal
ΔH_f (0 K), meV/atom: -415

***

No. 4
ErCdInGa | PBE | relaxed

Lattice parameters (Å, degrees): 7.180 7.180 7.180 90.00 90.00 90.00
Space group F-43m (No. 216)
One atom of each set of equivalent atoms:
Er  0.000  0.000  0.000 (multiplicity 4)
Cd  0.000  0.000  0.500 (multiplicity 4)
In  0.250  0.250  0.250 (multiplicity 4)
Ga  0.250  0.250  0.750 (multiplicity 4)

Values from the calculation:
E above lowest polymorph, meV per atom: 183
Crystal system: cubic
ΔH_f (0 K), meV/atom: -192

***

No. 5
ErCdInGa | PBE | relaxed

Lattice parameters (Å, degrees): 4.399 4.401 4.599 90.00 90.00 90.00
Space group Pmmm (No. 47)
One atom of each set of equivalent atoms:
Er  0.000  0.000  0.000 (multiplicity 1)
Cd  0.500  0.000  0.500 (multiplicity 1)
In  0.000  0.500  0.500 (multiplicity 1)
Ga  0.500  0.500  0.000 (multiplicity 1)

Values from the calculation:
E above lowest polymorph, meV per atom: 0
Crystal system: orthorhombic
ΔH_f (0 K), meV/atom: -375

***

No. 6
LaErCdGa | PBE | relaxed

Lattice parameters (Å, degrees): 7.506 7.506 7.506 90.00 90.00 90.00
Space group F-43m (No. 216)
One atom of each set of equivalent atoms:
La  0.000  0.000  0.000 (multiplicity 4)
Er  0.000  0.000  0.500 (multiplicity 4)
Cd  0.250  0.250  0.250 (multiplicity 4)
Ga  0.250  0.250  0.750 (multiplicity 4)

Values from the calculation:
E above lowest polymorph, meV per atom: 30
Crystal system: cubic
ΔH_f (0 K), meV/atom: -428